Entry from Alexandria via LeMat-Bulk: a relaxed structure of MgZrNi (GGA-PBEsol).

Geometry as POSCAR:
```
MgZrNi
1.0
-1.507 1.507 5.698
1.507 -1.507 5.698
1.507 1.507 -5.698
Mg Zr Ni
1 1 1
Direct
0.000 0.000 0.000 Mg
0.718 0.718 0.000 Zr
0.356 0.356 0.000 Ni
```

The calculation puts the energy of formation at -148.8 meV per atom. The total magnetization comes out at 0.0 μB/f.u.



Entry from Alexandria via LeMat-Bulk: a relaxed structure of MgZr2Ni2 (GGA-PBEsol).

Geometry as POSCAR:
```
MgZr2Ni2
1.0
-2.332 2.332 4.171
2.332 -2.332 4.171
2.332 2.332 -4.171
Mg Zr Ni
1 2 2
Direct
0.000 0.000 0.000 Mg
0.250 0.750 0.500 Zr
0.750 0.250 0.500 Zr
0.371 0.371 0.000 Ni
0.629 0.629 0.000 Ni
```

The calculation puts the energy of formation at -130.7 meV per atom. The total magnetization comes out at 0.0 μB/f.u.



Entry from Alexandria via LeMat-Bulk: a relaxed structure of Mg2ZrNi (GGA-PBEsol).

Geometry as POSCAR:
```
Mg2ZrNi
1.0
0.000 3.236 3.236
3.236 0.000 3.236
3.236 3.236 0.000
Mg Zr Ni
2 1 1
Direct
0.000 0.000 0.000 Mg
0.250 0.250 0.250 Mg
0.500 0.500 0.500 Zr
0.750 0.750 0.750 Ni
```

The calculation puts the energy of formation at -76.1 meV per atom. The total magnetization comes out at 0.0 μB/f.u.



Entry from Alexandria via LeMat-Bulk: a relaxed structure of MgZrNi2 (GGA-PBEsol).

Geometry as POSCAR:
```
MgZrNi2
1.0
3.883 0.000 0.000
0.000 1.696 4.699
0.000 -1.696 4.699
Mg Zr Ni
1 1 2
Direct
0.000 0.000 0.000 Mg
0.500 0.288 0.288 Zr
0.000 0.721 0.721 Ni
0.500 0.573 0.573 Ni
```

The calculation puts the energy of formation at -260.7 meV per atom. The total magnetization comes out at 0.0 μB/f.u.



Entry from Alexandria via LeMat-Bulk: a relaxed structure of MgZrNi2 (GGA-PBEsol).

Geometry as POSCAR:
```
MgZrNi2
1.0
-1.767 1.965 4.227
1.767 -1.965 4.227
1.767 1.965 -4.227
Mg Zr Ni
1 1 2
Direct
0.000 0.000 0.000 Mg
0.740 0.240 0.500 Zr
0.246 0.746 0.500 Ni
0.493 0.493 0.000 Ni
```

The calculation puts the energy of formation at -140.8 meV per atom. The total magnetization comes out at 0.0 μB/f.u.



Entry from Alexandria via LeMat-Bulk: a relaxed structure of MgO2 (GGA-PBEsol).

Geometry as POSCAR:
```
MgO2
1.0
1.585 0.915 3.462
-1.585 0.915 3.462
0.000 -1.830 3.462
Mg O
1 2
Direct
0.000 0.000 0.000 Mg
0.429 0.429 0.429 O
0.571 0.571 0.571 O
```

The calculation puts the uncorrected formation energy at -158.5 kJ/mol of atoms. The total magnetization comes out at 0.0 μB/f.u.



Entry from Alexandria via LeMat-Bulk: a relaxed structure of MgO2 (GGA-PBEsol).

Geometry as POSCAR:
```
MgO2
1.0
4.845 0.000 0.000
0.000 4.845 0.000
0.000 0.000 4.845
Mg O
4 8
Direct
0.000 0.000 0.000 Mg
0.000 0.500 0.500 Mg
0.500 0.000 0.500 Mg
0.500 0.500 0.000 Mg
0.089 0.589 0.911 O
0.089 0.911 0.411 O
0.411 0.089 0.911 O
0.411 0.411 0.411 O
0.589 0.589 0.589 O
0.589 0.911 0.089 O
0.911 0.089 0.589 O
0.911 0.411 0.089 O
```

The calculation puts the uncorrected formation energy at -165.7 kJ/mol of atoms. The total magnetization comes out at 0.0 μB/f.u.



Entry from Alexandria via LeMat-Bulk: a relaxed structure of Mg2OsO (GGA-PBEsol).

Geometry as POSCAR:
```
Mg2OsO
1.0
-2.940 2.940 3.570
2.940 -2.940 3.570
2.940 2.940 -3.570
Mg Os O
4 2 2
Direct
0.019 0.125 0.394 Mg
0.375 0.981 0.106 Mg
0.731 0.625 0.606 Mg
0.875 0.269 0.894 Mg
0.250 0.750 0.500 Os
0.500 0.500 0.000 Os
0.000 0.000 0.000 O
0.750 0.250 0.500 O
```

The calculation puts the uncorrected formation energy at -22.8 kJ/mol of atoms. The total magnetization comes out at 1.8 μB/f.u.